# 1
This record from Alexandria describes a relaxed CrHPdO crystal. The functional is GGA+U.

Properties
Spin magnetization   3.2 μB per formula unit
Polymorph energy (0 for the lowest one)   2 meV per atom
Space-group type   No. 160
Density of states at the Fermi level   0.4 states/eV per cell
Raw total energy   -23.66 eV for the cell shown

a b c (Å): 5.7292 5.7292 5.7292
angles (deg): 31.14 31.14 31.14
Last column: nearest neighbours and their distance in Å.
Positions (direct):
Cr (0.0000, 0.0000, 0.0000)  3 O 1.98, 1 H 2.15
H (0.8686, 0.8686, 0.8686)  3 Pd 1.78
Pd (0.5335, 0.5335, 0.5335)  3 H 1.78
O (0.3870, 0.3870, 0.3870)  3 Cr 1.98



# 2
This record from Alexandria describes a relaxed PuCr2HO6 crystal. The functional is GGA+U.

Properties
Spin magnetization   9.0 μB per formula unit
Space-group type   No. 1
Density of states at the Fermi level   6.8 states/eV per cell
Raw total energy   -81.95 eV for the cell shown

a b c (Å): 5.3126 5.3554 5.5682
angles (deg): 61.56 62.84 60.83
Last column: nearest neighbours and their distance in Å.
Positions (direct):
Pu (0.0000, 0.0000, 0.0000)  5 O 2.08-2.16
Cr (0.2120, 0.2118, 0.3719)  5 O 1.96-2.12
Cr (0.6844, 0.7116, 0.9130)  6 O 2.00-2.08
H (0.6501, 0.4966, 0.6051)  1 O 0.98
O (0.0273, 0.8724, 0.6875)  2 Cr 2.01-2.12, 1 Pu 2.08
O (0.3310, 0.5707, 0.1544)  2 Cr 1.96-2.00, 1 Pu 2.16
O (0.3956, 0.0699, 0.6962)  2 Cr 2.03-2.09, 1 Pu 2.08
O (0.5736, 0.9413, 0.1737)  2 Cr 1.97-2.04, 1 Pu 2.14
O (0.8241, 0.4639, 0.6510)  1 H 0.98
O (0.9409, 0.3318, 0.1538)  2 Cr 1.98-2.04, 1 Pu 2.16



# 3
This record from Alexandria describes a relaxed PuCrH2O6 crystal. The functional is GGA+U.

Properties
Spin magnetization   4.0 μB per formula unit
Space-group type   No. 2
Raw total energy   -75.87 eV for the cell shown

a b c (Å): 5.0862 5.2597 5.4652
angles (deg): 62.56 89.79 63.39
Last column: nearest neighbours and their distance in Å.
Positions (direct):
Pu (0.0000, 0.0000, 0.0000)  4 O 1.91-1.92
Cr (0.5000, 0.0000, 0.5000)  6 O 2.00-2.02
H (0.4052, 0.5229, 0.7276)  1 O 0.98
H (0.5948, 0.4771, 0.2724)  1 O 0.98
O (0.1371, 0.1117, 0.2439)  1 Pu 1.92, 1 Cr 2.00
O (0.2452, 0.1186, 0.7549)  1 Pu 1.91, 1 Cr 2.02
O (0.4066, 0.4685, 0.2676)  1 H 0.98
O (0.5934, 0.5315, 0.7324)  1 H 0.98
O (0.7548, 0.8814, 0.2451)  1 Pu 1.91, 1 Cr 2.02
O (0.8629, 0.8883, 0.7561)  1 Pu 1.92, 1 Cr 2.00



# 4
This record from Alexandria describes a relaxed RbCr2H2O6 crystal. The functional is GGA+U.

Properties
Spin magnetization   3.0 μB per formula unit
Space-group type   No. 2
Density of states at the Fermi level   2.2 states/eV per cell
Raw total energy   -67.77 eV for the cell shown

a b c (Å): 5.2887 5.4743 6.5378
angles (deg): 90.29 106.25 114.52
Last column: nearest neighbours and their distance in Å.
Positions (direct):
Rb (0.0000, 0.0000, 0.0000)  8 O 3.04-3.29
Cr (0.4802, 0.7277, 0.4072)  2 O 1.65-1.84
Cr (0.5198, 0.2723, 0.5928)  2 O 1.65-1.84
H (0.0599, 0.7633, 0.5245)  1 O 1.02
H (0.9401, 0.2367, 0.4755)  1 O 1.02
O (0.2373, 0.3633, 0.4266)  1 H 1.56
O (0.2474, 0.8707, 0.4873)  1 H 1.02
O (0.4594, 0.7325, 0.1513)  1 Cr 1.65
O (0.5406, 0.2675, 0.8487)  1 Cr 1.65
O (0.7526, 0.1293, 0.5127)  1 H 1.02
O (0.7627, 0.6367, 0.5734)  1 H 1.56



# 5
This record from Alexandria describes a relaxed CrH6SO7 crystal. The functional is GGA+U.

Properties
Spin magnetization   4.0 μB per formula unit
Space-group type   No. 1
Density of states at the Fermi level   0.0 states/eV per cell
Raw total energy   -170.61 eV for the cell shown

a b c (Å): 5.7740 7.2945 7.5472
angles (deg): 88.26 85.43 66.81
Last column: nearest neighbours and their distance in Å.
Positions (direct):
Cr (0.0000, 0.0000, 0.0000)  4 O 2.07-2.11
Cr (0.2661, 0.4673, 0.4999)  4 O 2.08-2.11
H (0.0033, 0.3568, 0.2732)  1 O 1.00
H (0.0982, 0.9469, 0.6408)  1 O 1.00
H (0.1585, 0.1308, 0.7053)  1 O 0.98
H (0.3113, 0.5202, 0.1408)  1 O 1.00
H (0.4299, 0.8927, 0.1995)  1 O 1.00
H (0.4985, 0.7800, 0.0116)  1 O 1.01
H (0.5252, 0.0510, 0.9617)  1 O 0.99
H (0.5462, 0.6870, 0.5114)  1 O 1.01
H (0.5552, 0.3366, 0.2046)  1 O 0.98
H (0.5891, 0.5746, 0.6994)  1 O 1.00
H (0.6281, 0.1096, 0.7727)  1 O 1.00
H (0.8421, 0.4156, 0.4620)  1 O 0.99
S (0.7482, 0.9679, 0.4187)  4 O 1.49-1.51
S (0.9815, 0.4994, 0.9192)  4 O 1.49-1.50
O (0.0053, 0.3346, 0.0469)  1 S 1.49
O (0.0160, 0.3602, 0.4039)  2 H 0.99-1.00
O (0.0857, 0.6361, 0.9919)  1 S 1.49
O (0.1283, 0.4055, 0.7488)  1 S 1.50
O (0.1580, 0.9999, 0.7406)  2 H 0.98-1.00
O (0.3740, 0.9027, 0.0758)  2 H 1.00-1.01
O (0.4240, 0.4672, 0.2402)  2 H 0.98-1.00
O (0.5433, 0.5647, 0.5757)  2 H 1.00-1.01
O (0.5922, 0.8542, 0.3806)  1 S 1.49, 1 H 1.63
O (0.6071, 0.1320, 0.5470)  1 S 1.49
O (0.6441, 0.1062, 0.9035)  2 H 0.99-1.00
O (0.7119, 0.6119, 0.8816)  1 S 1.49, 1 H 1.64
O (0.8002, 0.0626, 0.2484)  1 S 1.51
O (0.9894, 0.8322, 0.4906)  1 S 1.49



# 6
This record from Alexandria describes a relaxed CrH10SO9 crystal. The functional is GGA+U.

Properties
Spin magnetization   4.0 μB per formula unit
Space-group type   No. 2
Density of states at the Fermi level   0.0 states/eV per cell
Raw total energy   -229.86 eV for the cell shown

a b c (Å): 6.0819 6.1645 11.2087
angles (deg): 77.10 82.34 72.07
Last column: nearest neighbours and their distance in Å.
Positions (direct):
Cr (0.0000, 0.0000, 0.0000)  4 O 2.06-2.09
Cr (0.0000, 0.5000, 0.5000)  4 O 2.08
H (0.0701, 0.1961, 0.7075)  1 O 0.98
H (0.1169, 0.3121, 0.1014)  1 O 1.00
H (0.1605, 0.6410, 0.8713)  1 O 0.99
H (0.2524, 0.7885, 0.5030)  1 O 1.00
H (0.2630, 0.6199, 0.6364)  1 O 0.99
H (0.3094, 0.8930, 0.3043)  1 O 0.99
H (0.3256, 0.1630, 0.6363)  1 O 1.00
H (0.3388, 0.0968, 0.3609)  1 O 1.00
H (0.3479, 0.1887, 0.8694)  1 O 0.99
H (0.4358, 0.9053, 0.8874)  1 O 1.00
H (0.5642, 0.0947, 0.1126)  1 O 1.00
H (0.6521, 0.8113, 0.1306)  1 O 0.99
H (0.6612, 0.9032, 0.6391)  1 O 1.00
H (0.6744, 0.8370, 0.3637)  1 O 1.00
H (0.6906, 0.1070, 0.6957)  1 O 0.99
H (0.7370, 0.3801, 0.3636)  1 O 0.99
H (0.7476, 0.2115, 0.4970)  1 O 1.00
H (0.8395, 0.3590, 0.1287)  1 O 0.99
H (0.8831, 0.6879, 0.8986)  1 O 1.00
H (0.9299, 0.8039, 0.2925)  1 O 0.98
S (0.3757, 0.5015, 0.2163)  4 O 1.49-1.51
S (0.6243, 0.4985, 0.7837)  4 O 1.49-1.51
O (0.0191, 0.7350, 0.9120)  2 H 0.99-1.00
O (0.1553, 0.2058, 0.6263)  2 H 0.98-1.00
O (0.1691, 0.6928, 0.5650)  2 H 0.99-1.00
O (0.2096, 0.7396, 0.1894)  1 S 1.50
O (0.3046, 0.0430, 0.9014)  2 H 0.99-1.00
O (0.3213, 0.3842, 0.3436)  1 S 1.49
O (0.3649, 0.3601, 0.1265)  1 S 1.49
O (0.3796, 0.9241, 0.3707)  2 H 0.99-1.00
O (0.3830, 0.4741, 0.7922)  1 S 1.51
O (0.6170, 0.5259, 0.2078)  1 S 1.51
O (0.6204, 0.0759, 0.6293)  2 H 0.99-1.00
O (0.6351, 0.6399, 0.8735)  1 S 1.49
O (0.6787, 0.6158, 0.6564)  1 S 1.49
O (0.6954, 0.9570, 0.0986)  2 H 0.99-1.00
O (0.7904, 0.2604, 0.8106)  1 S 1.50
O (0.8309, 0.3072, 0.4350)  2 H 0.99-1.00
O (0.8447, 0.7942, 0.3737)  2 H 0.98-1.00
O (0.9809, 0.2650, 0.0880)  2 H 0.99-1.00



Repeat the fourth record exactly.
This record from Alexandria describes a relaxed RbCr2H2O6 crystal. The functional is GGA+U.

Properties
Spin magnetization   3.0 μB per formula unit
Space-group type   No. 2
Density of states at the Fermi level   2.2 states/eV per cell
Raw total energy   -67.77 eV for the cell shown

a b c (Å): 5.2887 5.4743 6.5378
angles (deg): 90.29 106.25 114.52
Last column: nearest neighbours and their distance in Å.
Positions (direct):
Rb (0.0000, 0.0000, 0.0000)  8 O 3.04-3.29
Cr (0.4802, 0.7277, 0.4072)  2 O 1.65-1.84
Cr (0.5198, 0.2723, 0.5928)  2 O 1.65-1.84
H (0.0599, 0.7633, 0.5245)  1 O 1.02
H (0.9401, 0.2367, 0.4755)  1 O 1.02
O (0.2373, 0.3633, 0.4266)  1 H 1.56
O (0.2474, 0.8707, 0.4873)  1 H 1.02
O (0.4594, 0.7325, 0.1513)  1 Cr 1.65
O (0.5406, 0.2675, 0.8487)  1 Cr 1.65
O (0.7526, 0.1293, 0.5127)  1 H 1.02
O (0.7627, 0.6367, 0.5734)  1 H 1.56